{"formula": "RbCdFe2Ge", "functional": "PBE", "state": "optimized geometry", "spacegroup": "P4/mmm (123)", "lattice": [[-4.649, 1.236, 0.227], [-0.410, -0.563, -5.333], [-1.202, -4.627, 0.581]], "species": ["Fe", "Fe", "Cd", "Ge", "Rb"], "fractional_positions": [[0.000, 0.000, 0.500], [0.500, 0.000, 0.000], [0.000, 0.500, 0.000], [0.000, 0.000, 0.000], [0.500, 0.500, 0.500]]}

=====

{"formula": "RbCdFeGe2", "functional": "PBE", "state": "optimized geometry", "spacegroup": "P4/mmm (123)", "lattice": [[4.668, 0.000, 0.000], [0.000, 4.668, 0.000], [0.000, 0.000, 5.243]], "species": ["Cd", "Fe", "Ge", "Ge", "Rb"], "fractional_positions": [[0.000, 0.000, 0.500], [0.000, 0.000, 0.000], [0.500, 0.000, 0.000], [0.000, 0.500, 0.000], [0.500, 0.500, 0.500]]}

=====

{"formula": "CdFe2GeRu", "functional": "PBE", "state": "optimized geometry", "spacegroup": "P4/mmm (123)", "lattice": [[4.417, 0.000, 0.000], [0.000, 4.576, 0.000], [0.000, 0.000, 4.417]], "species": ["Cd", "Ge", "Fe", "Fe", "Ru"], "fractional_positions": [[0.500, 0.500, 0.500], [0.000, 0.000, 0.000], [0.500, 0.000, 0.000], [0.000, 0.000, 0.500], [0.000, 0.500, 0.000]]}

=====

{"formula": "TaCd2FeGe", "functional": "PBE", "state": "optimized geometry", "spacegroup": "P4/mmm (123)", "lattice": [[-4.644, -1.757, 1.109], [-0.711, -0.909, -4.420], [1.920, -4.666, 0.651]], "species": ["Ta", "Cd", "Cd", "Ge", "Fe"], "fractional_positions": [[0.000, 0.500, 0.000], [0.500, 0.000, 0.000], [0.000, 0.000, 0.500], [0.500, 0.500, 0.500], [0.000, 0.000, 0.000]]}

=====

no.,calculated formation energy (eV per atom)
1,0.755
2,0.078
3,0.768
4,0.865